Record 1
Material: CaAc12La6
Method: DFT, PBE
State: relaxed

## Properties
Its density of states at the Fermi level is 30.4 states/eV/cell. Its space group is R-3m. The value obtained for the energy of formation is 0.177 eV per atom.

```
CaAc12La6
1.0
-4.798 -5.137 7.100
9.550 -2.928 0.218
-0.175 9.612 2.720
Ca Ac La
1 12 6
Direct
0.000 0.000 0.000
0.791 0.209 0.500
0.375 0.126 0.375
0.375 0.375 0.126
0.874 0.625 0.625
0.625 0.625 0.874
0.625 0.874 0.625
0.500 0.791 0.209
0.209 0.500 0.791
0.209 0.791 0.500
0.500 0.209 0.791
0.791 0.500 0.209
0.126 0.375 0.375
0.071 0.684 0.071
0.071 0.071 0.684
0.684 0.071 0.071
0.929 0.929 0.316
0.929 0.316 0.929
0.316 0.929 0.929
```

---

Record 2
Material: Ca2Ac5La5
Method: DFT, PBE
State: relaxed

## Properties
Its density of states at the Fermi level is 17.8 states/eV/cell. Its space group is C2/m. The value obtained for the energy of formation is 0.037 eV per atom.

```
Ca2Ac5La5
1.0
-1.567 4.371 -2.965
-7.636 2.652 2.825
1.845 9.005 7.183
Ca Ac La
2 5 5
Direct
0.916 0.413 0.754
0.084 0.587 0.246
0.835 0.832 0.498
0.248 0.750 0.754
0.752 0.250 0.246
0.165 0.168 0.502
0.000 0.000 0.000
0.500 0.500 0.500
0.334 0.328 0.004
0.414 0.925 0.247
0.586 0.075 0.753
0.666 0.672 0.996
```

---

Record 3
Material: Ca2Ac5La2
Method: DFT, PBE
State: relaxed

## Properties
Its density of states at the Fermi level is 21.4 states/eV/cell. Its energy above the lowest structure with this stoichiometry is 179.9 meV per atom. Its space group is Cmce. The value obtained for the energy of formation is 0.211 eV per atom.

```
Ca2Ac5La2
1.0
-1.198 -4.754 8.429
-2.195 -8.245 -4.962
9.081 2.026 2.433
Ca Ac La
4 10 4
Direct
0.000 0.231 0.463
0.500 0.731 0.463
0.000 0.769 0.537
0.500 0.269 0.537
0.000 0.000 0.000
0.500 0.500 0.000
0.805 0.824 0.253
0.195 0.429 0.253
0.305 0.929 0.253
0.695 0.324 0.253
0.195 0.176 0.747
0.805 0.571 0.747
0.695 0.071 0.747
0.305 0.676 0.747
0.614 0.887 0.000
0.386 0.113 0.000
0.114 0.613 0.000
0.886 0.387 0.000
```